1.
A plane-wave DFT calculation with PBE was carried out for RbBeSnAu after structural relaxation.

Geometry as CIF:
```
data_RbBeSnAu
_chemical_formula_sum 'Rb4 Be4 Sn4 Au4'
_symmetry_space_group_name_H-M 'F -4 3 m'
_symmetry_Int_Tables_number 216
_symmetry_space_group_name_Hall 'F -4 2 3'
_cell_length_a 7.312
_cell_length_b 7.312
_cell_length_c 7.312
_cell_angle_alpha 90.00
_cell_angle_beta 90.00
_cell_angle_gamma 90.00
loop_
_atom_site_label
_atom_site_type_symbol
_atom_site_fract_x
_atom_site_fract_y
_atom_site_fract_z
Rb1 Rb 0.000 0.000 0.000
Be1 Be 0.250 0.250 0.250
Sn1 Sn 0.000 0.000 0.500
Au1 Au 0.250 0.250 0.750
```

Polymorph energy (0 for the lowest one) ... 0.0000 eV/atom
Electronic total energy ... -2.471 eV/atom
ρ ... 6.97 Mg/m³


2.
A plane-wave DFT calculation with PBE was carried out for BeSbAu2 after structural relaxation.

Geometry as CIF:
```
data_BeSbAu2
_chemical_formula_sum 'Be4 Sb4 Au8'
_symmetry_space_group_name_H-M 'F -4 3 m'
_symmetry_Int_Tables_number 216
_symmetry_space_group_name_Hall 'F -4 2 3'
_cell_length_a 6.675
_cell_length_b 6.675
_cell_length_c 6.675
_cell_angle_alpha 90.00
_cell_angle_beta 90.00
_cell_angle_gamma 90.00
loop_
_atom_site_label
_atom_site_type_symbol
_atom_site_fract_x
_atom_site_fract_y
_atom_site_fract_z
Be1 Be 0.000 0.000 0.000
Sb1 Sb 0.250 0.250 0.750
Au1 Au 0.000 0.000 0.500
Au2 Au 0.250 0.250 0.250
```

Electronic total energy ... -3.204 eV/atom
ρ ... 11.72 Mg/m³


3.
A plane-wave DFT calculation with PBE was carried out for Be2SbAu after structural relaxation.

Geometry as CIF:
```
data_Be2SbAu
_chemical_formula_sum 'Be8 Sb4 Au4'
_symmetry_space_group_name_H-M 'F -4 3 m'
_symmetry_Int_Tables_number 216
_symmetry_space_group_name_Hall 'F -4 2 3'
_cell_length_a 6.469
_cell_length_b 6.469
_cell_length_c 6.469
_cell_angle_alpha 90.00
_cell_angle_beta 90.00
_cell_angle_gamma 90.00
loop_
_atom_site_label
_atom_site_type_symbol
_atom_site_fract_x
_atom_site_fract_y
_atom_site_fract_z
Be1 Be 0.000 0.000 0.000
Be2 Be 0.250 0.250 0.250
Sb1 Sb 0.000 0.000 0.500
Au1 Au 0.250 0.250 0.750
```

Electronic total energy ... -3.042 eV/atom
ρ ... 8.26 Mg/m³


4.
A plane-wave DFT calculation with PBE was carried out for ScBeAu after structural relaxation.

Geometry as CIF:
```
data_ScBeAu
_chemical_formula_sum 'Sc4 Be4 Au4'
_symmetry_space_group_name_H-M 'F -4 3 m'
_symmetry_Int_Tables_number 216
_symmetry_space_group_name_Hall 'F -4 2 3'
_cell_length_a 6.218
_cell_length_b 6.218
_cell_length_c 6.218
_cell_angle_alpha 90.00
_cell_angle_beta 90.00
_cell_angle_gamma 90.00
loop_
_atom_site_label
_atom_site_type_symbol
_atom_site_fract_x
_atom_site_fract_y
_atom_site_fract_z
Sc1 Sc 0.000 0.000 0.000
Be1 Be 0.250 0.250 0.250
Au1 Au 0.250 0.250 0.750
```

Polymorph energy (0 for the lowest one) ... 0.3898 eV/atom
Electronic total energy ... -4.186 eV/atom
ρ ... 6.93 Mg/m³
M_tot ... 0.0 μB per formula unit


5.
A plane-wave DFT calculation with PBE was carried out for ScBeAu after structural relaxation.

Geometry as CIF:
```
data_ScBeAu
_chemical_formula_sum 'Sc4 Be4 Au4'
_symmetry_space_group_name_H-M 'F -4 3 m'
_symmetry_Int_Tables_number 216
_symmetry_space_group_name_Hall 'F -4 2 3'
_cell_length_a 6.146
_cell_length_b 6.146
_cell_length_c 6.146
_cell_angle_alpha 90.00
_cell_angle_beta 90.00
_cell_angle_gamma 90.00
loop_
_atom_site_label
_atom_site_type_symbol
_atom_site_fract_x
_atom_site_fract_y
_atom_site_fract_z
Sc1 Sc 0.000 0.000 0.000
Be1 Be 0.000 0.000 0.500
Au1 Au 0.250 0.250 0.750
```

Polymorph energy (0 for the lowest one) ... 0.0000 eV/atom
Electronic total energy ... -4.575 eV/atom
ρ ... 7.18 Mg/m³
M_tot ... 0.6 μB per formula unit


6.
A plane-wave DFT calculation with PBE was carried out for ScBeAu2 after structural relaxation.

Geometry as CIF:
```
data_ScBeAu2
_chemical_formula_sum 'Sc4 Be4 Au8'
_symmetry_space_group_name_H-M 'F -4 3 m'
_symmetry_Int_Tables_number 216
_symmetry_space_group_name_Hall 'F -4 2 3'
_cell_length_a 6.432
_cell_length_b 6.432
_cell_length_c 6.432
_cell_angle_alpha 90.00
_cell_angle_beta 90.00
_cell_angle_gamma 90.00
loop_
_atom_site_label
_atom_site_type_symbol
_atom_site_fract_x
_atom_site_fract_y
_atom_site_fract_z
Sc1 Sc 0.000 0.000 0.000
Be1 Be 0.250 0.250 0.750
Au1 Au 0.000 0.000 0.500
Au2 Au 0.250 0.250 0.250
```

Electronic total energy ... -4.446 eV/atom
ρ ... 11.18 Mg/m³
M_tot ... 0.0 μB per formula unit


7.
A plane-wave DFT calculation with PBE was carried out for BeSi2Au after structural relaxation.

Geometry as CIF:
```
data_BeSi2Au
_chemical_formula_sum 'Be4 Si8 Au4'
_symmetry_space_group_name_H-M 'F -4 3 m'
_symmetry_Int_Tables_number 216
_symmetry_space_group_name_Hall 'F -4 2 3'
_cell_length_a 6.193
_cell_length_b 6.193
_cell_length_c 6.193
_cell_angle_alpha 90.00
_cell_angle_beta 90.00
_cell_angle_gamma 90.00
loop_
_atom_site_label
_atom_site_type_symbol
_atom_site_fract_x
_atom_site_fract_y
_atom_site_fract_z
Be1 Be 0.000 0.000 0.000
Si1 Si 0.000 0.000 0.500
Si2 Si 0.250 0.250 0.750
Au1 Au 0.250 0.250 0.250
```

Electronic total energy ... -3.953 eV/atom
ρ ... 7.33 Mg/m³


8.
A plane-wave DFT calculation with PBE was carried out for SmBeAu after structural relaxation.

Geometry as CIF:
```
data_SmBeAu
_chemical_formula_sum 'Sm4 Be4 Au4'
_symmetry_space_group_name_H-M 'F -4 3 m'
_symmetry_Int_Tables_number 216
_symmetry_space_group_name_Hall 'F -4 2 3'
_cell_length_a 6.710
_cell_length_b 6.710
_cell_length_c 6.710
_cell_angle_alpha 90.00
_cell_angle_beta 90.00
_cell_angle_gamma 90.00
loop_
_atom_site_label
_atom_site_type_symbol
_atom_site_fract_x
_atom_site_fract_y
_atom_site_fract_z
Sm1 Sm 0.000 0.000 0.000
Be1 Be 0.250 0.250 0.250
Au1 Au 0.250 0.250 0.750
```

Electronic total energy ... -3.576 eV/atom
ρ ... 7.83 Mg/m³
M_tot ... 0.0 μB per formula unit


9.
A plane-wave DFT calculation with PBE was carried out for BeSn2Au after structural relaxation.

Geometry as CIF:
```
data_BeSn2Au
_chemical_formula_sum 'Be4 Sn8 Au4'
_symmetry_space_group_name_H-M 'F -4 3 m'
_symmetry_Int_Tables_number 216
_symmetry_space_group_name_Hall 'F -4 2 3'
_cell_length_a 6.958
_cell_length_b 6.958
_cell_length_c 6.958
_cell_angle_alpha 90.00
_cell_angle_beta 90.00
_cell_angle_gamma 90.00
loop_
_atom_site_label
_atom_site_type_symbol
_atom_site_fract_x
_atom_site_fract_y
_atom_site_fract_z
Be1 Be 0.000 0.000 0.000
Sn1 Sn 0.000 0.000 0.500
Sn2 Sn 0.250 0.250 0.750
Au1 Au 0.250 0.250 0.250
```

Electronic total energy ... -3.304 eV/atom
ρ ... 8.74 Mg/m³


10.
A plane-wave DFT calculation with PBE was carried out for BeSnAu after structural relaxation.

Geometry as CIF:
```
data_BeSnAu
_chemical_formula_sum 'Be4 Sn4 Au4'
_symmetry_space_group_name_H-M 'F -4 3 m'
_symmetry_Int_Tables_number 216
_symmetry_space_group_name_Hall 'F -4 2 3'
_cell_length_a 6.011
_cell_length_b 6.011
_cell_length_c 6.011
_cell_angle_alpha 90.00
_cell_angle_beta 90.00
_cell_angle_gamma 90.00
loop_
_atom_site_label
_atom_site_type_symbol
_atom_site_fract_x
_atom_site_fract_y
_atom_site_fract_z
Be1 Be 0.000 0.000 0.000
Sn1 Sn 0.250 0.250 0.250
Au1 Au 0.250 0.250 0.750
```

Polymorph energy (0 for the lowest one) ... 0.0000 eV/atom
Electronic total energy ... -3.632 eV/atom
ρ ... 9.93 Mg/m³


11.
A plane-wave DFT calculation with PBE was carried out for SrBe2Au after structural relaxation.

Geometry as CIF:
```
data_SrBe2Au
_chemical_formula_sum 'Sr4 Be8 Au4'
_symmetry_space_group_name_H-M 'F -4 3 m'
_symmetry_Int_Tables_number 216
_symmetry_space_group_name_Hall 'F -4 2 3'
_cell_length_a 6.764
_cell_length_b 6.764
_cell_length_c 6.764
_cell_angle_alpha 90.00
_cell_angle_beta 90.00
_cell_angle_gamma 90.00
loop_
_atom_site_label
_atom_site_type_symbol
_atom_site_fract_x
_atom_site_fract_y
_atom_site_fract_z
Sr1 Sr 0.000 0.000 0.000
Be1 Be 0.000 0.000 0.500
Be2 Be 0.250 0.250 0.750
Au1 Au 0.250 0.250 0.250
```

Electronic total energy ... -2.661 eV/atom
ρ ... 6.50 Mg/m³


12.
A plane-wave DFT calculation with PBE was carried out for Sr2BeAu after structural relaxation.

Geometry as CIF:
```
data_Sr2BeAu
_chemical_formula_sum 'Sr8 Be4 Au4'
_symmetry_space_group_name_H-M 'F -4 3 m'
_symmetry_Int_Tables_number 216
_symmetry_space_group_name_Hall 'F -4 2 3'
_cell_length_a 7.274
_cell_length_b 7.274
_cell_length_c 7.274
_cell_angle_alpha 90.00
_cell_angle_beta 90.00
_cell_angle_gamma 90.00
loop_
_atom_site_label
_atom_site_type_symbol
_atom_site_fract_x
_atom_site_fract_y
_atom_site_fract_z
Sr1 Sr 0.000 0.000 0.000
Sr2 Sr 0.250 0.250 0.250
Be1 Be 0.000 0.000 0.500
Au1 Au 0.250 0.250 0.750
```

Electronic total energy ... -2.452 eV/atom
ρ ... 6.58 Mg/m³